A relaxed structure of LiBeTl. Source: Alexandria, functional PBE.

Cell: 4.7863 4.7863 4.7863 Å, 137.60 137.48 61.61°
Element x y z (fractional)
Li  0.3389  0.3389  0.0000
Be  0.9950  0.9950  0.0000
Tl  0.6660  0.6660  0.0000

Values from the calculation:
Its space group is I4mm. The formation energy is 0.283 eV per atom. Its volume is 49.40 Å³/cell. For the energy relative to the lowest polymorph listed for this composition, the calculation gives 60 meV/atom. As for the density of states at the Fermi level: 1.0 states/eV per cell.



A relaxed structure of Li2BeTl. Source: Alexandria, functional PBE.

Cell: 5.0461 5.0461 5.0461 Å, 134.45 134.45 66.39°
Element x y z (fractional)
Li  0.0000  0.0000  0.0000
Li  0.5000  0.5000  0.0000
Be  0.7500  0.2500  0.5000
Tl  0.2500  0.7500  0.5000

Values from the calculation:
Its space group is I4/mmm. The formation energy is 0.123 eV per atom. Its volume is 64.46 Å³/cell. For the energy relative to the lowest polymorph listed for this composition, the calculation gives 118 meV/atom. As for the density of states at the Fermi level: 1.6 states/eV per cell.



A relaxed structure of LiBeTl2. Source: Alexandria, functional PBE.

Cell: 6.5210 6.5210 6.5210 Å, 150.73 141.48 49.10°
Element x y z (fractional)
Tl  0.9816  0.9816  0.0000
Be  0.5037  0.5037  0.0000
Tl  0.7031  0.2031  0.5000
Li  0.3116  0.8116  0.5000

Values from the calculation:
Its space group is Imm2. The formation energy is 0.286 eV per atom. Its volume is 84.08 Å³/cell. For the energy relative to the lowest polymorph listed for this composition, the calculation gives 38 meV/atom. As for the density of states at the Fermi level: 1.5 states/eV per cell.